1) DFT (PBE-GGA) results for crystalline Pr2ErS3 at its relaxed geometry.

Results
Fermi-level density of states, states/eV/cell: 5.1
Calculated volume, Å³/cell: 277.17
Symmetry: C2/m

Geometry as POSCAR:
```
Pr2ErS3
1.0
3.4669 -6.0190 0.0000
3.4669 6.0190 0.0000
-2.3199 0.0000 6.6413
Pr Er S
4 2 6
direct
0.0000 0.0000 0.0000 Pr
0.1605 0.8395 0.5000 Pr
0.5000 0.5000 0.5000 Pr
0.8395 0.1605 0.5000 Pr
0.3337 0.6663 0.0000 Er
0.6663 0.3337 0.0000 Er
0.0785 0.4256 0.2361 S
0.2699 0.2699 0.7692 S
0.4256 0.0785 0.2361 S
0.5744 0.9215 0.7639 S
0.7301 0.7301 0.2308 S
0.9215 0.5744 0.7639 S
```


2) DFT (PBE-GGA) results for crystalline Pr2ErS3 at its relaxed geometry.

Results
Fermi-level density of states, states/eV/cell: 3.6
Calculated volume, Å³/cell: 148.47
Symmetry: Immm

Geometry as POSCAR:
```
Pr2ErS3
1.0
-1.9106 2.4955 7.7851
1.9106 -2.4955 7.7851
1.9106 2.4955 -7.7851
Pr Er S
2 1 3
direct
0.1466 0.1466 0.0000 Pr
0.8534 0.8534 0.0000 Pr
0.5000 0.5000 0.0000 Er
0.0000 0.5000 0.5000 S
0.3291 0.3291 0.0000 S
0.6709 0.6709 0.0000 S
```


Which of them is most stable? Easy: 1).


1) DFT (PBE-GGA) results for crystalline PrErS3 at its relaxed geometry.

Results
Calculated volume, Å³/cell: 930.90
Symmetry: P2_1/m

Geometry as POSCAR:
```
PrErS3
1.0
11.0602 0.0000 0.0000
0.0000 3.9756 0.0000
-4.3045 0.0000 21.1708
Pr Er S
8 8 24
direct
0.0899 0.2500 0.3634 Pr
0.2016 0.2500 0.0372 Pr
0.3044 0.7500 0.7333 Pr
0.3074 0.2500 0.2333 Pr
0.6926 0.7500 0.7667 Pr
0.6956 0.2500 0.2667 Pr
0.7984 0.7500 0.9628 Pr
0.9101 0.7500 0.6366 Pr
0.0306 0.2500 0.8513 Er
0.1798 0.2500 0.5459 Er
0.4466 0.2500 0.9164 Er
0.4772 0.7500 0.4125 Er
0.5228 0.2500 0.5875 Er
0.5534 0.7500 0.0836 Er
0.8202 0.7500 0.4541 Er
0.9694 0.7500 0.1487 Er
0.0374 0.2500 0.2289 S
0.0583 0.7500 0.9447 S
0.0844 0.7500 0.4629 S
0.1261 0.2500 0.6631 S
0.2046 0.7500 0.1350 S
0.2514 0.7500 0.3266 S
0.2547 0.2500 0.8227 S
0.3422 0.7500 0.5986 S
0.3559 0.7500 0.9859 S
0.3634 0.2500 0.4642 S
0.4530 0.2500 0.1344 S
0.4955 0.2500 0.7194 S
0.5045 0.7500 0.2806 S
0.5470 0.7500 0.8656 S
0.6366 0.7500 0.5358 S
0.6441 0.2500 0.0141 S
0.6578 0.2500 0.4014 S
0.7453 0.7500 0.1773 S
0.7486 0.2500 0.6734 S
0.7954 0.2500 0.8650 S
0.8739 0.7500 0.3369 S
0.9156 0.2500 0.5371 S
0.9417 0.2500 0.0553 S
0.9626 0.7500 0.7711 S
```


2) DFT (PBE-GGA) results for crystalline PrErS3 at its relaxed geometry.

Results
Calculated volume, Å³/cell: 456.26
Symmetry: Pnma

Geometry as POSCAR:
```
PrErS3
1.0
7.4166 0.0000 0.0000
0.0000 4.0013 0.0000
0.0000 0.0000 15.3750
Pr Er S
4 4 12
direct
0.1434 0.2500 0.2000 Pr
0.3566 0.7500 0.7000 Pr
0.6434 0.2500 0.3000 Pr
0.8566 0.7500 0.8000 Pr
0.2292 0.7500 0.4567 Er
0.2708 0.2500 0.9567 Er
0.7292 0.7500 0.0433 Er
0.7708 0.2500 0.5433 Er
0.0123 0.2500 0.3960 S
0.1258 0.7500 0.0602 S
0.1498 0.2500 0.7859 S
0.3502 0.7500 0.2859 S
0.3742 0.2500 0.5602 S
0.4877 0.7500 0.8960 S
0.5123 0.2500 0.1040 S
0.6258 0.7500 0.4398 S
0.6498 0.2500 0.7141 S
0.8502 0.7500 0.2141 S
0.8742 0.2500 0.9398 S
0.9877 0.7500 0.6040 S
```


Which of them is most stable? Easy: 1).


1) DFT (PBE-GGA) results for crystalline PrEr2S4 at its relaxed geometry.

Results
Fermi-level density of states, states/eV/cell: 2.7
Calculated volume, Å³/cell: 328.10
Symmetry: Cmcm

Geometry as POSCAR:
```
PrEr2S4
1.0
1.9308 -6.4454 0.0000
1.9308 6.4454 0.0000
0.0000 0.0000 13.1820
Pr Er S
2 4 8
direct
0.1234 0.8766 0.7500 Pr
0.8766 0.1234 0.2500 Pr
0.3698 0.6302 0.5676 Er
0.3698 0.6302 0.9324 Er
0.6302 0.3698 0.0676 Er
0.6302 0.3698 0.4324 Er
0.0000 0.0000 0.0000 S
0.0000 0.0000 0.5000 S
0.2720 0.7280 0.1178 S
0.2720 0.7280 0.3822 S
0.4585 0.5415 0.7500 S
0.5415 0.4585 0.2500 S
0.7280 0.2720 0.6178 S
0.7280 0.2720 0.8822 S
```


2) DFT (PBE-GGA) results for crystalline PrEr2S4 at its relaxed geometry.

Results
Fermi-level density of states, states/eV/cell: 7.8
Calculated volume, Å³/cell: 649.26
Symmetry: Pnma

Geometry as POSCAR:
```
PrEr2S4
1.0
11.8273 0.0000 0.0000
0.0000 3.8697 0.0000
0.0000 0.0000 14.1857
Pr Er S
4 8 16
direct
0.2415 0.2500 0.1679 Pr
0.2585 0.7500 0.6679 Pr
0.7415 0.2500 0.3321 Pr
0.7585 0.7500 0.8321 Pr
0.0636 0.2500 0.3896 Er
0.0886 0.2500 0.9041 Er
0.4114 0.7500 0.4041 Er
0.4364 0.7500 0.8896 Er
0.5636 0.2500 0.1104 Er
0.5886 0.2500 0.5959 Er
0.9114 0.7500 0.0959 Er
0.9364 0.7500 0.6104 Er
0.0310 0.7500 0.7834 S
0.0948 0.2500 0.5781 S
0.1307 0.7500 0.0346 S
0.2028 0.7500 0.3218 S
0.2972 0.2500 0.8218 S
0.3693 0.2500 0.5346 S
0.4052 0.7500 0.0781 S
0.4690 0.2500 0.2834 S
0.5310 0.7500 0.7166 S
0.5948 0.2500 0.9219 S
0.6307 0.7500 0.4654 S
0.7028 0.7500 0.1782 S
0.7972 0.2500 0.6782 S
0.8693 0.2500 0.9654 S
0.9052 0.7500 0.4219 S
0.9690 0.2500 0.2166 S
```


Which of them is most stable? Easy: 1).


1) DFT (PBE-GGA) results for crystalline PrErS2 at its relaxed geometry.

Results
Fermi-level density of states, states/eV/cell: 1.2
Calculated volume, Å³/cell: 90.90
Symmetry: R3m

Geometry as POSCAR:
```
PrErS2
1.0
1.9347 1.1170 7.0110
-1.9347 1.1170 7.0110
0.0000 -2.2340 7.0110
Pr Er S
1 1 2
direct
0.0000 0.0000 0.0000 Pr
0.1777 0.1777 0.1777 Er
0.4272 0.4272 0.4272 S
0.5839 0.5839 0.5839 S
```


2) DFT (PBE-GGA) results for crystalline PrErS2 at its relaxed geometry.

Results
Fermi-level density of states, states/eV/cell: 1.4
Calculated volume, Å³/cell: 89.64
Symmetry: C2/m

Geometry as POSCAR:
```
PrErS2
1.0
3.4059 -1.9721 0.0000
3.4059 1.9721 0.0000
-2.2782 0.0000 6.6728
Pr Er S
1 1 2
direct
0.0000 0.0000 0.0000 Pr
0.5000 0.5000 0.5000 Er
0.2422 0.2422 0.7264 S
0.7578 0.7578 0.2736 S
```


Which of them is most stable? Easy: 2).


1) DFT (PBE-GGA) results for crystalline PrErSb2 at its relaxed geometry.

Results
Fermi-level density of states, states/eV/cell: 1.4
Calculated volume, Å³/cell: 250.41
Symmetry: P6_3/mmc

Geometry as POSCAR:
```
PrErSb2
1.0
4.4403 0.0000 0.0000
-2.2202 3.8454 0.0000
0.0000 0.0000 14.6651
Pr Er Sb
2 2 4
direct
0.3333 0.6667 0.2500 Pr
0.6667 0.3333 0.7500 Pr
0.0000 0.0000 0.0000 Er
0.0000 0.0000 0.5000 Er
0.3333 0.6667 0.6166 Sb
0.3333 0.6667 0.8834 Sb
0.6667 0.3333 0.1166 Sb
0.6667 0.3333 0.3834 Sb
```


2) DFT (PBE-GGA) results for crystalline PrErSb2 at its relaxed geometry.

Results
Fermi-level density of states, states/eV/cell: 0.4
Calculated volume, Å³/cell: 128.19
Symmetry: R3m

Geometry as POSCAR:
```
PrErSb2
1.0
2.2138 1.2782 7.5506
-2.2138 1.2782 7.5506
0.0000 -2.5563 7.5506
Pr Er Sb
1 1 2
direct
0.0000 0.0000 0.0000 Pr
0.8290 0.8290 0.8290 Er
0.4171 0.4171 0.4171 Sb
0.5782 0.5782 0.5782 Sb
```


3) DFT (PBE-GGA) results for crystalline PrErSb2 at its relaxed geometry.

Results
Fermi-level density of states, states/eV/cell: 0.7
Calculated volume, Å³/cell: 125.19
Symmetry: R-3m

Geometry as POSCAR:
```
PrErSb2
1.0
2.2307 1.2879 7.2617
-2.2307 1.2879 7.2617
0.0000 -2.5758 7.2617
Pr Er Sb
1 1 2
direct
0.0000 0.0000 0.0000 Pr
0.5000 0.5000 0.5000 Er
0.2455 0.2455 0.2455 Sb
0.7545 0.7545 0.7545 Sb
```


Which of them is most stable? Easy: 3).


1) DFT (PBE-GGA) results for crystalline Pr3ErSb2 at its relaxed geometry.

Results
Fermi-level density of states, states/eV/cell: 13.9
Calculated volume, Å³/cell: 424.75
Symmetry: Ibam

Geometry as POSCAR:
```
Pr3ErSb2
1.0
-3.6338 7.2791 4.0145
3.6338 -7.2791 4.0145
3.6338 7.2791 -4.0145
Pr Er Sb
6 2 4
direct
0.0402 0.7500 0.2902 Pr
0.2500 0.2500 0.0000 Pr
0.4598 0.7500 0.7098 Pr
0.5402 0.2500 0.2902 Pr
0.7500 0.7500 0.0000 Pr
0.9598 0.2500 0.7098 Pr
0.0000 0.5000 0.5000 Er
0.5000 0.0000 0.5000 Er
0.1436 0.1840 0.3276 Sb
0.3564 0.6840 0.0404 Sb
0.6436 0.3160 0.9596 Sb
0.8564 0.8160 0.6724 Sb
```


2) DFT (PBE-GGA) results for crystalline Pr3ErSb2 at its relaxed geometry.

Results
Fermi-level density of states, states/eV/cell: 5.4
Calculated volume, Å³/cell: 186.90
Symmetry: P-4m2

Geometry as POSCAR:
```
Pr3ErSb2
1.0
4.5961 0.0000 0.0000
0.0000 4.5961 0.0000
0.0000 0.0000 8.8478
Pr Er Sb
3 1 2
direct
0.0000 0.0000 0.0000 Pr
0.0000 0.5000 0.6457 Pr
0.5000 0.0000 0.3543 Pr
0.5000 0.5000 0.0000 Er
0.0000 0.5000 0.2747 Sb
0.5000 0.0000 0.7253 Sb
```


Which of them is most stable? Easy: 2).


1) DFT (PBE-GGA) results for crystalline Pr3ErSb3 at its relaxed geometry.

Results
Fermi-level density of states, states/eV/cell: 29.3
Calculated volume, Å³/cell: 851.68
Symmetry: P2_13

Geometry as POSCAR:
```
Pr3ErSb3
1.0
9.4789 0.0000 0.0000
0.0000 9.4789 0.0000
0.0000 0.0000 9.4789
Pr Er Sb
12 4 12
direct
0.0661 0.4339 0.5661 Pr
0.1763 0.8237 0.3237 Pr
0.1795 0.1795 0.1795 Pr
0.3205 0.8205 0.6795 Pr
0.3237 0.1763 0.8237 Pr
0.4339 0.5661 0.0661 Pr
0.5661 0.0661 0.4339 Pr
0.6763 0.6763 0.6763 Pr
0.6795 0.3205 0.8205 Pr
0.8205 0.6795 0.3205 Pr
0.8237 0.3237 0.1763 Pr
0.9339 0.9339 0.9339 Pr
0.0724 0.5724 0.9276 Er
0.4276 0.4276 0.4276 Er
0.5724 0.9276 0.0724 Er
0.9276 0.0724 0.5724 Er
0.0027 0.2580 0.8706 Sb
0.1294 0.5027 0.2420 Sb
0.2420 0.1294 0.5027 Sb
0.2580 0.8706 0.0027 Sb
0.3706 0.4973 0.7420 Sb
0.4973 0.7420 0.3706 Sb
0.5027 0.2420 0.1294 Sb
0.6294 0.9973 0.7580 Sb
0.7420 0.3706 0.4973 Sb
0.7580 0.6294 0.9973 Sb
0.8706 0.0027 0.2580 Sb
0.9973 0.7580 0.6294 Sb
```


2) DFT (PBE-GGA) results for crystalline Pr3ErSb3 at its relaxed geometry.

Results
Fermi-level density of states, states/eV/cell: 9.9
Calculated volume, Å³/cell: 466.63
Symmetry: R-3

Geometry as POSCAR:
```
Pr3ErSb3
1.0
4.6051 2.6588 6.3518
-4.6051 2.6588 6.3518
0.0000 -5.3175 6.3518
Pr Er Sb
6 2 6
direct
0.0936 0.8219 0.3473 Pr
0.1781 0.6527 0.9064 Pr
0.3473 0.0936 0.8219 Pr
0.6527 0.9064 0.1781 Pr
0.8219 0.3473 0.0936 Pr
0.9064 0.1781 0.6527 Pr
0.3325 0.3325 0.3325 Er
0.6675 0.6675 0.6675 Er
0.0718 0.4696 0.6912 Sb
0.3088 0.9282 0.5304 Sb
0.4696 0.6912 0.0718 Sb
0.5304 0.3088 0.9282 Sb
0.6912 0.0718 0.4696 Sb
0.9282 0.5304 0.3088 Sb
```


Which of them is most stable? Easy: 1).


1) DFT (PBE-GGA) results for crystalline PrEr5Sc at its relaxed geometry.

Results
Fermi-level density of states, states/eV/cell: 9.8
Calculated volume, Å³/cell: 275.04
Symmetry: Imm2

Geometry as POSCAR:
```
PrEr5Sc
1.0
-4.0273 5.6959 2.9976
4.0273 -5.6959 2.9976
4.0273 5.6959 -2.9976
Pr Er Sc
1 5 1
direct
0.0000 0.0000 0.0000 Pr
0.4749 0.4749 0.0000 Er
0.4868 0.7388 0.7481 Er
0.7454 0.0692 0.3238 Er
0.7454 0.4215 0.6762 Er
0.9907 0.7388 0.2519 Er
0.2469 0.7469 0.5000 Sc
```


2) DFT (PBE-GGA) results for crystalline PrEr5Sc at its relaxed geometry.

Results
Fermi-level density of states, states/eV/cell: 21.4
Calculated volume, Å³/cell: 443.81
Symmetry: C2/c

Geometry as POSCAR:
```
PrEr5Sc
1.0
5.4648 -6.2597 0.0000
5.4648 6.2597 0.0000
-2.3684 0.0000 6.4870
Pr Er Sc
2 10 2
direct
0.1544 0.8456 0.7500 Pr
0.8456 0.1544 0.2500 Pr
0.1096 0.8904 0.2500 Er
0.2313 0.2799 0.6392 Er
0.2799 0.2313 0.1392 Er
0.3392 0.6072 0.4645 Er
0.3928 0.6608 0.0355 Er
0.6072 0.3392 0.9645 Er
0.6608 0.3928 0.5355 Er
0.7201 0.7687 0.8608 Er
0.7687 0.7201 0.3608 Er
0.8904 0.1096 0.7500 Er
0.0000 0.5000 0.0000 Sc
0.5000 0.0000 0.5000 Sc
```


Which of them is most stable? Easy: 2).


1) DFT (PBE-GGA) results for crystalline Pr12Er7Sc at its relaxed geometry.

Results
Fermi-level density of states, states/eV/cell: 35.2
Calculated volume, Å³/cell: 681.49
Symmetry: R-3

Geometry as POSCAR:
```
Pr12Er7Sc
1.0
7.6173 4.3979 3.3905
-7.6173 4.3979 3.3905
0.0000 -8.7957 3.3905
Pr Er Sc
12 7 1
direct
0.0581 0.2946 0.4044 Pr
0.2177 0.6773 0.3822 Pr
0.2946 0.4044 0.0581 Pr
0.3227 0.6178 0.7823 Pr
0.3822 0.2177 0.6773 Pr
0.4044 0.0581 0.2946 Pr
0.5956 0.9419 0.7054 Pr
0.6178 0.7823 0.3227 Pr
0.6773 0.3822 0.2177 Pr
0.7054 0.5956 0.9419 Pr
0.7823 0.3227 0.6178 Pr
0.9419 0.7054 0.5956 Pr
0.0052 0.8991 0.3137 Er
0.1009 0.6863 0.9948 Er
0.3137 0.0052 0.8991 Er
0.5000 0.5000 0.5000 Er
0.6863 0.9948 0.1009 Er
0.8991 0.3137 0.0052 Er
0.9948 0.1009 0.6863 Er
0.0000 0.0000 0.0000 Sc
```


2) DFT (PBE-GGA) results for crystalline Pr12Er7Sc at its relaxed geometry.

Results
Fermi-level density of states, states/eV/cell: 29.8
Calculated volume, Å³/cell: 696.25
Symmetry: R-3

Geometry as POSCAR:
```
Pr12Er7Sc
1.0
9.8295 5.6750 2.0802
-9.8295 5.6750 2.0802
0.0000 -11.3501 2.0802
Pr Er Sc
12 7 1
direct
0.0007 0.4128 0.5881 Pr
0.0781 0.0786 0.4293 Pr
0.0786 0.4293 0.0781 Pr
0.4119 0.9993 0.5872 Pr
0.4128 0.5881 0.0007 Pr
0.4293 0.0781 0.0786 Pr
0.5707 0.9219 0.9214 Pr
0.5872 0.4119 0.9993 Pr
0.5881 0.0007 0.4128 Pr
0.9214 0.5707 0.9219 Pr
0.9219 0.9214 0.5707 Pr
0.9993 0.5872 0.4119 Pr
0.0000 0.0000 0.0000 Er
0.1428 0.3826 0.3821 Er
0.3821 0.1428 0.3826 Er
0.3826 0.3821 0.1428 Er
0.6174 0.6179 0.8572 Er
0.6179 0.8572 0.6174 Er
0.8572 0.6174 0.6179 Er
0.5000 0.5000 0.5000 Sc
```


Which of them is most stable? Easy: 1).